Y5NbN6 | PBE | relaxed

a = 5.8904 Å, b = 5.9017 Å, c = 5.8945 Å
α = 59.96°, β = 80.37°, γ = 70.47°
With the nearest neighbours (Å) after each atom.
Element x y z (fractional)
1 Y 0.5000 0.1659 0.6682  6 N 2.39-2.54
2 Y 0.0000 0.3332 0.3337  6 N 2.41-2.42
3 Y 0.5000 0.5000 0.0000  6 N 2.40-2.52
4 Y 0.0000 0.6668 0.6663  6 N 2.41-2.42
5 Y 0.5000 0.8341 0.3318  6 N 2.39-2.54
6 Nb 0.0000 0.0000 0.0000  6 N 2.27-2.29
7 N 0.7628 0.0794 0.3146  1 Nb 2.27, 5 Y 2.40-2.54
8 N 0.2372 0.6060 0.3146  1 Nb 2.27, 5 Y 2.40-2.54
9 N 0.2401 0.2357 0.0000  1 Nb 2.29, 5 Y 2.39-2.52
10 N 0.7599 0.7643 0.0000  1 Nb 2.29, 5 Y 2.39-2.52
11 N 0.7628 0.3940 0.6854  1 Nb 2.27, 5 Y 2.40-2.54
12 N 0.2372 0.9206 0.6854  1 Nb 2.27, 5 Y 2.40-2.54

Results
Energy relative to the elements, uncorrected ... -1566 meV per atom
SG ... C2/m, No. 12